## ThSi2Ru (PBE)

Data for a geometry-optimized ThSi2Ru structure.

Results
N(E_F): 6.88 states/eV per cell
Formation energy from raw total energies: -845 meV/atom
Size of the total moment: 0.000 μB/atom
SG: Pnma (62)

Cell lengths 4.1808, 6.9534, 10.2281 Å; angles 90.00, 90.00, 90.00 degrees
With the nearest neighbours (Å) after each atom.
Element x y z (fractional)
1 Th 0.7500 0.6607 0.6277  9 Si 3.00-3.32, 2 Ru 3.19
2 Th 0.2500 0.8393 0.1277  9 Si 3.00-3.32, 2 Ru 3.19
3 Th 0.2500 0.3393 0.3723  9 Si 3.00-3.32, 2 Ru 3.19
4 Th 0.7500 0.1607 0.8723  9 Si 3.00-3.32, 2 Ru 3.19
5 Si 0.7500 0.1886 0.5798  3 Ru 2.39-2.47, 2 Si 2.57
6 Si 0.2500 0.3114 0.0798  3 Ru 2.39-2.47, 2 Si 2.57
7 Si 0.2500 0.8114 0.4202  3 Ru 2.39-2.47, 2 Si 2.57
8 Si 0.7500 0.6886 0.9202  3 Ru 2.39-2.47, 2 Si 2.57
9 Si 0.7500 0.6514 0.3217  2 Ru 2.40-2.47, 2 Si 2.57
10 Si 0.2500 0.8486 0.8217  2 Ru 2.40-2.47, 2 Si 2.57
11 Si 0.2500 0.3486 0.6783  2 Ru 2.40-2.47, 2 Si 2.57
12 Si 0.7500 0.1514 0.1783  2 Ru 2.40-2.47, 2 Si 2.57
13 Ru 0.7500 0.9936 0.3874  5 Si 2.39-2.47
14 Ru 0.2500 0.5064 0.8874  5 Si 2.39-2.47
15 Ru 0.2500 0.0064 0.6126  5 Si 2.39-2.47
16 Ru 0.7500 0.4936 0.1126  5 Si 2.39-2.47

---

## Th2SiRu (PBE)

Data for a geometry-optimized Th2SiRu structure.

Results
N(E_F): 8.08 states/eV per cell
Formation energy from raw total energies: -616 meV/atom
Size of the total moment: 0.000 μB/atom
SG: P2_1/m (11)

Cell lengths 4.0134, 5.9245, 8.5882 Å; angles 112.16, 90.00, 90.00 degrees
With the nearest neighbours (Å) after each atom.
Element x y z (fractional)
1 Th 0.7500 0.2172 0.4377  3 Ru 2.94-3.03, 3 Si 3.12-3.14
2 Th 0.2500 0.7828 0.5623  3 Ru 2.94-3.03, 3 Si 3.12-3.14
3 Th 0.2500 0.7899 0.0873  2 Ru 2.95, 4 Si 3.10-3.13
4 Th 0.7500 0.2101 0.9127  2 Ru 2.95, 4 Si 3.10-3.13
5 Si 0.2500 0.3598 0.2091  2 Ru 2.61
6 Si 0.7500 0.6402 0.7909  2 Ru 2.61
7 Ru 0.7500 0.6652 0.2937  2 Si 2.61
8 Ru 0.2500 0.3348 0.7063  2 Si 2.61

---

## Th3Si4Ru2 (PBE)

Data for a geometry-optimized Th3Si4Ru2 structure.

Results
N(E_F): 4.62 states/eV per cell
Formation energy from raw total energies: -794 meV/atom
Size of the total moment: 0.000 μB/atom
SG: C2/m (12)

Cell lengths 4.1946, 5.9533, 8.2966 Å; angles 107.51, 90.00, 110.63 degrees
With the nearest neighbours (Å) after each atom.
Element x y z (fractional)
1 Th 0.6162 0.2325 0.6918  7 Si 3.00-3.19, 3 Ru 3.08-3.17
2 Th 0.0000 0.0000 0.0000  8 Si 3.11-3.39
3 Th 0.3838 0.7675 0.3082  7 Si 3.00-3.19, 3 Ru 3.08-3.17
4 Si 0.7173 0.4346 0.0729  1 Ru 2.45, 2 Si 2.64
5 Si 0.2827 0.5654 0.9271  1 Ru 2.45, 2 Si 2.64
6 Si 0.8936 0.7872 0.6021  3 Ru 2.39-2.47
7 Si 0.1064 0.2128 0.3979  3 Ru 2.39-2.47
8 Ru 0.6958 0.3916 0.3580  4 Si 2.39-2.47
9 Ru 0.3042 0.6084 0.6420  4 Si 2.39-2.47

---

## Th2Si3Ru (PBE)

Data for a geometry-optimized Th2Si3Ru structure.

Results
ΔE to the lowest computed polymorph: 1.06 kcal/mol of atoms
N(E_F): 3.60 states/eV per cell
Formation energy from raw total energies: -782 meV/atom
Size of the total moment: 0.000 μB/atom
SG: Imm2 (44)

Cell lengths 7.7814, 7.7814, 7.7814 Å; angles 149.79, 148.47, 44.23 degrees
With the nearest neighbours (Å) after each atom.
Element x y z (fractional)
1 Th 0.2513 0.7513 0.5000  8 Si 3.13-3.24, 4 Ru 3.16
2 Th 0.9977 0.9977 0.0000  2 Ru 3.12, 10 Si 3.15-3.26
3 Si 0.4167 0.4167 0.0000  1 Si 2.37, 2 Ru 2.43
4 Si 0.6694 0.1694 0.5000  1 Ru 2.37, 2 Si 2.39
5 Si 0.5813 0.5813 0.0000  3 Si 2.37-2.39
6 Ru 0.8337 0.3337 0.5000  3 Si 2.37-2.43